Below is crystalline Ce2ReP2H4 at its relaxed geometry, with properties calculated at the GGA-PBE level.

## Properties
As for the density of states at the Fermi level: 9.23 states/eV/cell. The uncorrected energy is -0.4328 Ry per atom.

a = 5.6417 Å, b = 5.6417 Å, c = 5.6417 Å
α = 120.81°, β = 120.81°, γ = 88.60°
Fractional coordinates of all 9 atoms:
Ce (0.2500, 0.7500, 0.5000)
Ce (0.7500, 0.2500, 0.5000)
Re (0.0000, 0.0000, 0.0000)
P (0.2952, 0.2952, 0.0000)
P (0.7048, 0.7048, 0.0000)
H (0.2266, 0.2266, 0.4532)
H (0.2266, 0.7734, 0.0000)
H (0.7734, 0.2266, 0.0000)
H (0.7734, 0.7734, 0.5468)